VASP calculation (PBE+U) on PrCr2BiO8 after structural relaxation.

Computed properties:
Calculated volume ... 178.1 Å³/f.u.
Electronic total energy ... -84.698 eV/cell
Crystal system ... tetragonal

CIF file:
```
data_PrCr2BiO8
_chemical_formula_sum 'Pr1 Cr2 Bi1 O8'
_symmetry_space_group_name_H-M 'P 1'
_symmetry_Int_Tables_number 1
_symmetry_space_group_name_Hall 'P 1'
_cell_length_a 6.1634
_cell_length_b 6.1634
_cell_length_c 6.1634
_cell_angle_alpha 106.02
_cell_angle_beta 106.02
_cell_angle_gamma 116.63
loop_
_atom_site_label
_atom_site_type_symbol
_atom_site_fract_x
_atom_site_fract_y
_atom_site_fract_z
Pr1 Pr 0.0000 0.0000 0.0000
Cr1 Cr 0.2500 0.7500 0.5000
Cr2 Cr 0.5000 0.5000 0.0000
Bi1 Bi 0.7500 0.2500 0.5000
O1 O 0.0761 0.3988 0.3227
O2 O 0.0761 0.7534 0.6773
O3 O 0.1505 0.3308 0.8197
O4 O 0.2466 0.9239 0.3227
O5 O 0.5110 0.3308 0.1803
O6 O 0.6012 0.9239 0.6773
O7 O 0.6692 0.4890 0.8197
O8 O 0.6692 0.8495 0.1803
```